[1]
# SrLa2Ru, optimized geometry, DFT GGA-PBE
data_SrLa2Ru
_cell_length_a 4.6265
_cell_length_b 5.6955
_cell_length_c 10.4567
_cell_angle_alpha 90.00
_cell_angle_beta 90.00
_cell_angle_gamma 90.00
_space_group_name_H-M_alt 'C m m m'
_space_group_IT_number 65
_space_group_name_Hall '-C 2 2'
loop_
_atom_site_label
_atom_site_type_symbol
_atom_site_fract_x
_atom_site_fract_y
_atom_site_fract_z
Sr1 Sr 0.0000 0.0000 0.0000
La1 La 0.0000 0.5000 0.3375
Ru1 Ru 0.0000 0.0000 0.5000
# Crystal system = orthorhombic
# M_tot = 0.012 μB/cell
# Energy of formation from the pure elements = -7.5 kJ per mole of atoms
# Offset from the most stable computed form = 0.100 eV per atom
# Volume = 34.44 Å³/atom
# Uncorrected energy = -5.281 eV per atom

---

[2]
# SrLa2Ru, optimized geometry, DFT GGA-PBE
data_SrLa2Ru
_cell_length_a 4.0854
_cell_length_b 4.0854
_cell_length_c 9.2958
_cell_angle_alpha 90.00
_cell_angle_beta 90.00
_cell_angle_gamma 90.00
_space_group_name_H-M_alt 'P 4 m m'
_space_group_IT_number 99
loop_
_space_group_symop_operation_xyz
'x,y,z'
'-y,x,z'
'-x,-y,z'
'y,-x,z'
'-x,y,z'
'y,x,z'
'x,-y,z'
'-y,-x,z'
loop_
_atom_site_label
_atom_site_type_symbol
_atom_site_fract_x
_atom_site_fract_y
_atom_site_fract_z
Sr1 Sr 0.0000 0.0000 0.0000
La1 La 0.0000 0.0000 0.5973
La2 La 0.5000 0.5000 0.3225
Ru1 Ru 0.5000 0.5000 0.5821
# Crystal system = tetragonal
# M_tot = 0.000 μB/cell
# Energy of formation from the pure elements = 3.6 kJ per mole of atoms
# Offset from the most stable computed form = 0.216 eV per atom
# Volume = 38.79 Å³/atom
# Uncorrected energy = -5.165 eV per atom

---

[3]
# Sr2LaRu, optimized geometry, DFT GGA-PBE
data_Sr2LaRu
_cell_length_a 11.5149
_cell_length_b 11.5149
_cell_length_c 5.0837
_cell_angle_alpha 90.00
_cell_angle_beta 90.00
_cell_angle_gamma 90.00
_space_group_name_H-M_alt 'I -4 2 d'
_space_group_IT_number 122
_space_group_name_Hall 'I -4 2bw'
loop_
_atom_site_label
_atom_site_type_symbol
_atom_site_fract_x
_atom_site_fract_y
_atom_site_fract_z
Sr1 Sr 0.1035 0.2500 0.1250
La1 La 0.0000 0.0000 0.5000
Ru1 Ru 0.0000 0.0000 0.0000
# Crystal system = tetragonal
# M_tot = 0.000 μB/cell
# Energy of formation from the pure elements = 21.3 kJ per mole of atoms
# Offset from the most stable computed form = 0.179 eV per atom
# Volume = 42.13 Å³/atom
# Uncorrected energy = -4.171 eV per atom